one | 12
Lattice="5.5515 0.0000 0.0000 0.0000 5.5515 0.0000 0.0000 0.0000 5.5515" Properties=species:S:1:pos:R:3 comment="PBE ReNiCl, optimized geometry" volume_a3_per_cell=171 sg="No. 216" pbc="T T T"
Re 0.0000 0.0000 0.0000
Re 0.0000 2.7757 2.7757
Re 2.7757 0.0000 2.7757
Re 2.7757 2.7757 0.0000
Ni 0.0000 0.0000 2.7757
Ni 0.0000 2.7757 0.0000
Ni 2.7757 0.0000 0.0000
Ni 2.7757 2.7757 2.7757
Cl 1.3879 1.3879 4.1636
Cl 1.3879 4.1636 1.3879
Cl 4.1636 1.3879 1.3879
Cl 4.1636 4.1636 4.1636

two | 12
Lattice="5.7509 0.0000 0.0000 0.0000 5.7509 0.0000 0.0000 0.0000 5.7509" Properties=species:S:1:pos:R:3 comment="PBE ReNiCl, optimized geometry" volume_a3_per_cell=190 sg="No. 216" pbc="T T T"
Re 0.0000 0.0000 0.0000
Re 0.0000 2.8754 2.8754
Re 2.8754 0.0000 2.8754
Re 2.8754 2.8754 0.0000
Ni 1.4377 1.4377 4.3132
Ni 1.4377 4.3132 1.4377
Ni 4.3132 1.4377 1.4377
Ni 4.3132 4.3132 4.3132
Cl 1.4377 1.4377 1.4377
Cl 1.4377 4.3132 4.3132
Cl 4.3132 1.4377 4.3132
Cl 4.3132 4.3132 1.4377

three | 3
Lattice="2.8792 0.0000 0.0000 -1.4396 2.4935 0.0000 0.0000 0.0000 5.9161" Properties=species:S:1:pos:R:3 comment="PBE ReNiCl, optimized geometry" volume_a3_per_cell=42 sg="No. 156" pbc="T T T"
Re 0.0000 0.0000 0.0000
Ni 1.4396 0.8312 4.0433
Cl 0.0000 1.6623 2.0867

Ranked by calculated energy, most stable first: three, two, one.

one | 5
Lattice="4.6901 0.0000 0.0000 0.0000 4.6901 0.0000 0.0000 0.0000 4.6901" Properties=species:S:1:pos:R:3 comment="PBE ReNiCl3, optimized geometry" volume_a3_per_cell=103 sg="No. 221" pbc="T T T"
Re 0.0000 0.0000 0.0000
Ni 2.3451 2.3451 2.3451
Cl 0.0000 2.3451 2.3451
Cl 2.3451 0.0000 2.3451
Cl 2.3451 2.3451 0.0000

two | 5
Lattice="4.8072 0.0000 0.0000 0.0000 4.8072 0.0000 0.0000 0.0000 4.8072" Properties=species:S:1:pos:R:3 comment="PBE ReNiCl3, optimized geometry" volume_a3_per_cell=111 sg="No. 221" pbc="T T T"
Re 0.0000 0.0000 0.0000
Ni 2.4036 2.4036 2.4036
Cl 0.0000 0.0000 2.4036
Cl 0.0000 2.4036 0.0000
Cl 2.4036 0.0000 0.0000

Ranked by calculated energy, most stable first: one, two.

one | 5
Lattice="4.4458 0.0000 0.0000 0.0000 4.4458 0.0000 0.0000 0.0000 4.8619" Properties=species:S:1:pos:R:3 comment="PBE ReNiSCl2, optimized geometry" volume_a3_per_cell=96 sg="No. 123" pbc="T T T"
Re 0.0000 0.0000 0.0000
Ni 2.2229 2.2229 2.4310
S 2.2229 2.2229 0.0000
Cl 0.0000 2.2229 2.4310
Cl 2.2229 0.0000 2.4310

two | 5
Lattice="4.9272 0.0000 0.0000 0.0000 4.9272 0.0000 0.0000 0.0000 4.4540" Properties=species:S:1:pos:R:3 comment="PBE ReNiSCl2, optimized geometry" volume_a3_per_cell=108 sg="No. 123" pbc="T T T"
Re 0.0000 0.0000 0.0000
Ni 2.4636 2.4636 2.2270
S 0.0000 0.0000 2.2270
Cl 0.0000 2.4636 0.0000
Cl 2.4636 0.0000 0.0000

Ranked by calculated energy, most stable first: two, one.

one | 5
Lattice="4.5214 0.0000 0.0000 0.0000 4.5214 0.0000 0.0000 0.0000 5.1457" Properties=species:S:1:pos:R:3 comment="PBE ReNiS2Cl, optimized geometry" volume_a3_per_cell=105 sg="No. 123" pbc="T T T"
Re 0.0000 0.0000 0.0000
Ni 2.2607 2.2607 2.5729
S 0.0000 2.2607 0.0000
S 2.2607 0.0000 0.0000
Cl 0.0000 0.0000 2.5729

two | 5
Lattice="4.5432 0.0000 0.0000 0.0000 4.5432 0.0000 0.0000 0.0000 4.3496" Properties=species:S:1:pos:R:3 comment="PBE ReNiS2Cl, optimized geometry" volume_a3_per_cell=90 sg="No. 123" pbc="T T T"
Re 0.0000 0.0000 0.0000
Ni 2.2716 2.2716 2.1748
S 0.0000 2.2716 2.1748
S 2.2716 0.0000 2.1748
Cl 2.2716 2.2716 0.0000

Ranked by calculated energy, most stable first: one, two.

one | 5
Lattice="4.6277 0.0000 0.0000 0.0000 4.6277 0.0000 0.0000 0.0000 4.5201" Properties=species:S:1:pos:R:3 comment="PBE TaReNi2Cl, optimized geometry" volume_a3_per_cell=97 sg="No. 123" pbc="T T T"
Ta 0.0000 0.0000 0.0000
Re 2.3138 2.3138 2.2600
Ni 0.0000 2.3138 0.0000
Ni 2.3138 0.0000 0.0000
Cl 0.0000 0.0000 2.2600

two | 5
Lattice="4.0859 0.0000 0.0000 0.0000 4.0859 0.0000 0.0000 0.0000 4.5363" Properties=species:S:1:pos:R:3 comment="PBE TaReNi2Cl, optimized geometry" volume_a3_per_cell=76 sg="No. 123" pbc="T T T"
Ta 0.0000 0.0000 0.0000
Re 2.0430 2.0430 0.0000
Ni 0.0000 2.0430 2.2681
Ni 2.0430 0.0000 2.2681
Cl 2.0430 2.0430 2.2681

Ranked by calculated energy, most stable first: two, one.

one | 5
Lattice="4.3646 0.0000 0.0000 0.0000 4.3646 0.0000 0.0000 0.0000 4.3646" Properties=species:S:1:pos:R:3 comment="PBE NiRh3Cl, optimized geometry" volume_a3_per_cell=83 sg="No. 221" pbc="T T T"
Ni 0.0000 0.0000 0.0000
Rh 0.0000 2.1823 2.1823
Rh 2.1823 0.0000 2.1823
Rh 2.1823 2.1823 0.0000
Cl 2.1823 2.1823 2.1823

two | 5
Lattice="4.5752 0.0000 0.0000 0.0000 4.5752 0.0000 0.0000 0.0000 4.5752" Properties=species:S:1:pos:R:3 comment="PBE NiRh3Cl, optimized geometry" volume_a3_per_cell=96 sg="No. 221" pbc="T T T"
Ni 0.0000 0.0000 0.0000
Rh 0.0000 0.0000 2.2876
Rh 0.0000 2.2876 0.0000
Rh 2.2876 0.0000 0.0000
Cl 2.2876 2.2876 2.2876

Ranked by calculated energy, most stable first: one, two.

one | 5
Lattice="4.6174 0.0000 0.0000 0.0000 4.6174 0.0000 0.0000 0.0000 4.7788" Properties=species:S:1:pos:R:3 comment="PBE NiRhS2Cl, optimized geometry" volume_a3_per_cell=102 sg="No. 123" pbc="T T T"
Ni 0.0000 0.0000 0.0000
Rh 2.3087 2.3087 2.3894
S 0.0000 2.3087 2.3894
S 2.3087 0.0000 2.3894
Cl 2.3087 2.3087 0.0000

two | 5
Lattice="4.4388 0.0000 0.0000 0.0000 4.4388 0.0000 0.0000 0.0000 4.4964" Properties=species:S:1:pos:R:3 comment="PBE NiRhS2Cl, optimized geometry" volume_a3_per_cell=89 sg="No. 123" pbc="T T T"
Ni 0.0000 0.0000 0.0000
Rh 2.2194 2.2194 2.2482
S 0.0000 2.2194 0.0000
S 2.2194 0.0000 0.0000
Cl 0.0000 0.0000 2.2482

three | 5
Lattice="4.7518 0.0000 0.0000 0.0000 4.7518 0.0000 0.0000 0.0000 4.3288" Properties=species:S:1:pos:R:3 comment="PBE NiRhS2Cl, optimized geometry" volume_a3_per_cell=98 sg="No. 123" pbc="T T T"
Ni 0.0000 0.0000 0.0000
Rh 2.3759 2.3759 0.0000
S 0.0000 2.3759 2.1644
S 2.3759 0.0000 2.1644
Cl 2.3759 2.3759 2.1644

Ranked by calculated energy, most stable first: two, one, three.

one | 8
Lattice="8.1252 0.0000 0.0000 0.0000 2.7669 0.0000 -0.1745 0.0000 6.4313" Properties=species:S:1:pos:R:3 comment="PBE NiRu2Cl, optimized geometry" volume_a3_per_cell=145 sg="No. 8" pbc="T T T"
Ni 0.0000 0.0000 0.0000
Ni 4.0626 1.3835 0.0000
Ru 0.1248 1.3835 4.2082
Ru 2.0547 0.0000 5.2515
Ru 4.1874 0.0000 4.2082
Ru 6.1173 1.3835 5.2515
Cl 0.0771 0.0000 2.1946
Cl 4.1397 1.3835 2.1946

two | 4
Lattice="2.9490 0.0000 0.0000 0.0000 2.9583 0.0000 0.0000 0.0000 6.8484" Properties=species:S:1:pos:R:3 comment="PBE NiRu2Cl, optimized geometry" volume_a3_per_cell=60 sg="No. 47" pbc="T T T"
Ni 0.0000 0.0000 0.0000
Ru 1.4745 1.4791 1.3534
Ru 1.4745 1.4791 5.4950
Cl 0.0000 1.4791 3.4242

three | 4
Lattice="2.8204 0.0000 0.0000 0.0000 2.8204 0.0000 0.0000 0.0000 7.1405" Properties=species:S:1:pos:R:3 comment="PBE NiRu2Cl, optimized geometry" volume_a3_per_cell=57 sg="No. 99" pbc="T T T"
Ni 0.0000 0.0000 0.0000
Ru 0.0000 0.0000 3.4210
Ru 1.4102 1.4102 1.7650
Cl 1.4102 1.4102 5.3073

Ranked by calculated energy, most stable first: three, two, one.